This record from Alexandria via LeMat-Bulk describes an optimized crystal structure of Tl6Hg2BiAu. The functional is PBE-GGA.

Total magnetization   0.0000 μB per atom
SG   P1 (1)
Formation energy from the elements   -0.002 eV/atom
E   -2.198 eV per atom

Cell lengths 6.062, 6.375, 8.333 Å; angles 78.96, 71.81, 76.80 degrees
Fractional coordinates of all 10 atoms:
Tl 0.000 0.000 0.000
Tl 0.068 0.783 0.431
Tl 0.302 0.331 0.129
Tl 0.434 0.640 0.716
Tl 0.623 0.088 0.759
Tl 0.720 0.406 0.333
Hg 0.589 0.932 0.341
Hg 0.901 0.544 0.889
Bi 0.163 0.245 0.576
Au 0.444 0.763 0.083